Compound: La3InH
Source: Alexandria
Functional: GGA-PBE
Structure: relaxed

Output
Its total energy is -4.546 eV/atom. Its polymorph energy (0 for the lowest one) is 0.000 eV/atom. The size of the total moment comes out at 0.992 μB/f.u.

abc: 5.1068 5.1068 5.1068
angles: 90.00 90.00 90.00
With the nearest neighbours (Å) after each atom.
Atoms (fractional coordinates):
La 0.0000 0.0000 0.5000  2 H 2.55
La 0.0000 0.5000 0.0000  2 H 2.55
La 0.5000 0.0000 0.0000  2 H 2.55
In 0.5000 0.5000 0.5000  12 La 3.61
H 0.0000 0.0000 0.0000  6 La 2.55